The following is a DFT calculation (GGA+U) of an optimized crystal structure of LiNiP4O12.

V, A^3/atom: 13.6
Space-group type: Pbcn (60)
Energy above the lowest structure with this stoichiometry, meV per atom: 0

```
data_LiNiP4O12
_chemical_formula_sum 'Li4 Ni4 P16 O48'
_space_group_name_H-M_alt 'P 1'
_space_group_IT_number 1
_space_group_name_Hall 'P 1'
_cell_length_a 8.356
_cell_length_b 9.191
_cell_length_c 12.711
_cell_angle_alpha 90.00
_cell_angle_beta 90.00
_cell_angle_gamma 90.00
loop_
_atom_site_label
_atom_site_fract_x
_atom_site_fract_y
_atom_site_fract_z
Li1 0.006 0.750 0.000
Li2 0.994 0.250 0.000
Li3 0.494 0.250 0.500
Li4 0.506 0.750 0.500
Ni1 0.370 0.750 0.000
Ni2 0.630 0.250 0.000
Ni3 0.130 0.250 0.500
Ni4 0.870 0.750 0.500
P1 0.819 0.496 0.862
P2 0.181 0.996 0.862
P3 0.537 0.989 0.850
P4 0.463 0.489 0.850
P5 0.181 0.504 0.138
P6 0.819 0.004 0.138
P7 0.463 0.011 0.150
P8 0.537 0.511 0.150
P9 0.037 0.511 0.350
P10 0.963 0.011 0.350
P11 0.963 0.489 0.650
P12 0.681 0.504 0.362
P13 0.319 0.496 0.638
P14 0.681 0.996 0.638
P15 0.037 0.989 0.650
P16 0.319 0.004 0.362
O1 0.865 0.878 0.376
O2 0.905 0.629 0.896
O3 0.538 0.869 0.931
O4 0.462 0.369 0.931
O5 0.191 0.632 0.062
O6 0.809 0.132 0.062
O7 0.462 0.131 0.069
O8 0.538 0.631 0.069
O9 0.095 0.371 0.104
O10 0.905 0.871 0.104
O11 0.365 0.878 0.124
O12 0.635 0.378 0.124
O13 0.358 0.463 0.179
O14 0.642 0.963 0.179
O15 0.103 0.575 0.243
O16 0.897 0.075 0.243
O17 0.397 0.075 0.257
O18 0.603 0.575 0.257
O19 0.142 0.963 0.321
O20 0.858 0.463 0.321
O21 0.135 0.378 0.376
O22 0.809 0.368 0.938
O23 0.405 0.871 0.396
O24 0.595 0.371 0.396
O25 0.038 0.631 0.431
O26 0.962 0.131 0.431
O27 0.309 0.132 0.438
O28 0.691 0.632 0.438
O29 0.309 0.368 0.562
O30 0.691 0.868 0.562
O31 0.038 0.869 0.569
O32 0.962 0.369 0.569
O33 0.405 0.629 0.604
O34 0.595 0.129 0.604
O35 0.135 0.122 0.624
O36 0.865 0.622 0.624
O37 0.142 0.537 0.679
O38 0.858 0.037 0.679
O39 0.397 0.425 0.743
O40 0.603 0.925 0.743
O41 0.103 0.925 0.757
O42 0.897 0.425 0.757
O43 0.358 0.037 0.821
O44 0.642 0.537 0.821
O45 0.365 0.622 0.876
O46 0.635 0.122 0.876
O47 0.095 0.129 0.896
O48 0.191 0.868 0.938
```